[1]
The following is a GGA-PBE calculation of a relaxed structure of Sm12GaRu6, from Alexandria via LeMat-Bulk.

space-group type	No. 204
E_form	-0.2145	eV per atom
calculated total energy	-6.284	eV per atom
crystal system	cubic
energy above the lowest structure with this stoichiometry	0.0	meV per atom
calculated density	8.2	g/cm3
magnetization	0.0	μB per cell

Lattice parameters (Å, degrees): 8.657 8.657 8.657 109.47 109.47 109.47
Fractional coordinates of all 19 atoms:
Sm 0.100 0.295 0.805
Sm 0.195 0.491 0.295
Sm 0.195 0.900 0.705
Sm 0.295 0.195 0.491
Sm 0.295 0.805 0.100
Sm 0.491 0.295 0.195
Sm 0.509 0.705 0.805
Sm 0.705 0.195 0.900
Sm 0.705 0.805 0.509
Sm 0.805 0.100 0.295
Sm 0.805 0.509 0.705
Sm 0.900 0.705 0.195
Ga 0.000 0.000 0.000
Ru 0.122 0.500 0.622
Ru 0.378 0.878 0.500
Ru 0.500 0.378 0.878
Ru 0.500 0.622 0.122
Ru 0.622 0.122 0.500
Ru 0.878 0.500 0.378



[2]
The following is a GGA-PBE calculation of a relaxed structure of PuPRu, from Alexandria via LeMat-Bulk.

space-group type	No. 11
E_form	-0.6605	eV per atom
calculated total energy	-10.333	eV per atom
crystal system	monoclinic
calculated density	12.4	g/cm3
magnetization	0.2	μB per cell

Lattice parameters (Å, degrees): 6.562 3.694 12.452 90.00 93.56 90.00
Fractional coordinates of all 18 atoms:
Pu 0.044 0.250 0.129
Pu 0.089 0.250 0.462
Pu 0.430 0.250 0.208
Pu 0.570 0.750 0.792
Pu 0.911 0.750 0.538
Pu 0.956 0.750 0.871
P 0.164 0.750 0.295
P 0.300 0.250 0.897
P 0.324 0.750 0.600
P 0.676 0.250 0.400
P 0.700 0.750 0.103
P 0.836 0.250 0.705
Ru 0.199 0.250 0.710
Ru 0.351 0.750 0.008
Ru 0.459 0.750 0.416
Ru 0.541 0.250 0.584
Ru 0.649 0.250 0.992
Ru 0.801 0.750 0.290



[3]
The following is a GGA-PBE calculation of a relaxed structure of Ho2AsCl, from Alexandria via LeMat-Bulk.

space-group type	No. 160
uncorrected formation energy	-1.3592	eV per atom
calculated total energy	-5.272	eV per atom
crystal system	trigonal
calculated density	7.5	g/cm3
magnetization	0.0	μB per cell

Lattice parameters (Å, degrees): 4.012 4.012 20.897 90.00 90.00 120.00
Fractional coordinates of all 12 atoms:
Ho 0.000 0.000 0.000
Ho 0.000 0.000 0.189
Ho 0.333 0.667 0.667
Ho 0.333 0.667 0.856
Ho 0.667 0.333 0.333
Ho 0.667 0.333 0.522
As 0.000 0.000 0.597
As 0.333 0.667 0.263
As 0.667 0.333 0.930
Cl 0.000 0.000 0.426
Cl 0.333 0.667 0.093
Cl 0.667 0.333 0.759



[4]
The following is a GGA-PBE calculation of a relaxed structure of Ba2ScZn3Sn4, from Alexandria via LeMat-Bulk.

space-group type	No. 115
E_form	-0.4618	eV per atom
calculated total energy	-3.463	eV per atom
crystal system	tetragonal
calculated density	6.0	g/cm3
magnetization	0.0	μB per cell

Lattice parameters (Å, degrees): 4.802 4.802 11.889 90.00 90.00 90.00
Fractional coordinates of all 10 atoms:
Ba 0.000 0.500 0.240
Ba 0.500 0.000 0.760
Sc 0.000 0.000 0.500
Zn 0.000 0.500 0.870
Zn 0.500 0.000 0.130
Zn 0.500 0.500 0.500
Sn 0.000 0.000 0.000
Sn 0.000 0.500 0.638
Sn 0.500 0.000 0.362
Sn 0.500 0.500 0.000



[5]
The following is a GGA-PBE calculation of a relaxed structure of MnAlBr2, from Alexandria via LeMat-Bulk.

space-group type	No. 225
uncorrected formation energy	0.1902	eV per atom
calculated total energy	-3.874	eV per atom
crystal system	cubic
energy above the lowest structure with this stoichiometry	542.4	meV per atom
calculated density	4.3	g/cm3
magnetization	18.3	μB per cell

Lattice parameters (Å, degrees): 7.209 7.209 7.209 90.00 90.00 90.00
Fractional coordinates of all 16 atoms:
Mn 0.000 0.000 0.000
Mn 0.000 0.500 0.500
Mn 0.500 0.000 0.500
Mn 0.500 0.500 0.000
Al 0.000 0.000 0.500
Al 0.000 0.500 0.000
Al 0.500 0.000 0.000
Al 0.500 0.500 0.500
Br 0.250 0.250 0.250
Br 0.250 0.250 0.750
Br 0.250 0.750 0.250
Br 0.250 0.750 0.750
Br 0.750 0.250 0.250
Br 0.750 0.250 0.750
Br 0.750 0.750 0.250
Br 0.750 0.750 0.750



[6]
The following is a GGA-PBE calculation of a relaxed structure of NiHgRu2Se, from Alexandria via LeMat-Bulk.

space-group type	No. 123
uncorrected formation energy	1.2218	eV per atom
calculated total energy	-4.402	eV per atom
crystal system	tetragonal
calculated density	8.9	g/cm3
magnetization	4.7	μB per cell

Lattice parameters (Å, degrees): 4.587 4.587 4.804 90.00 90.00 90.00
Fractional coordinates of all 5 atoms:
Ni 0.000 0.000 0.000
Hg 0.000 0.000 0.500
Ru 0.000 0.500 0.000
Ru 0.500 0.000 0.000
Se 0.500 0.500 0.500



[7]
The following is a GGA-PBE calculation of a relaxed structure of NbSbAsBr2, from Alexandria via LeMat-Bulk.

space-group type	No. 123
uncorrected formation energy	0.9524	eV per atom
calculated total energy	-3.485	eV per atom
crystal system	tetragonal
energy above the lowest structure with this stoichiometry	721.3	meV per atom
calculated density	4.6	g/cm3
magnetization	3.3	μB per cell

Lattice parameters (Å, degrees): 5.441 5.441 5.441 90.00 90.00 90.00
Fractional coordinates of all 5 atoms:
Nb 0.000 0.000 0.000
Sb 0.500 0.500 0.500
As 0.500 0.500 0.000
Br 0.000 0.500 0.500
Br 0.500 0.000 0.500



[8]
The following is a GGA-PBE calculation of a relaxed structure of Pr4CdPd2, from Alexandria via LeMat-Bulk.

space-group type	No. 166
E_form	-0.3828	eV per atom
calculated total energy	-4.728	eV per atom
crystal system	trigonal
calculated density	7.1	g/cm3
magnetization	0.0	μB per cell

Lattice parameters (Å, degrees): 9.975 9.975 9.975 29.18 29.18 29.18
Fractional coordinates of all 7 atoms:
Pr 0.117 0.117 0.117
Pr 0.295 0.295 0.295
Pr 0.705 0.705 0.705
Pr 0.883 0.883 0.883
Cd 0.500 0.500 0.500
Pd 0.401 0.401 0.401
Pd 0.599 0.599 0.599



[9]
The following is a GGA-PBE calculation of a relaxed structure of ErMgRuRh, from Alexandria via LeMat-Bulk.

space-group type	No. 216
E_form	-0.4164	eV per atom
calculated total energy	-6.113	eV per atom
crystal system	cubic
calculated density	9.5	g/cm3
magnetization	0.0	μB per cell

Lattice parameters (Å, degrees): 6.511 6.511 6.511 90.00 90.00 90.00
Fractional coordinates of all 16 atoms:
Er 0.000 0.000 0.000
Er 0.000 0.500 0.500
Er 0.500 0.000 0.500
Er 0.500 0.500 0.000
Mg 0.000 0.000 0.500
Mg 0.000 0.500 0.000
Mg 0.500 0.000 0.000
Mg 0.500 0.500 0.500
Ru 0.250 0.250 0.750
Ru 0.250 0.750 0.250
Ru 0.750 0.250 0.250
Ru 0.750 0.750 0.750
Rh 0.250 0.250 0.250
Rh 0.250 0.750 0.750
Rh 0.750 0.250 0.750
Rh 0.750 0.750 0.250



[10]
The following is a GGA-PBE calculation of a relaxed structure of K2FeGeCl6, from Alexandria via LeMat-Bulk.

space-group type	No. 148
uncorrected formation energy	-1.2193	eV per atom
calculated total energy	-3.855	eV per atom
crystal system	trigonal
calculated density	2.7	g/cm3
magnetization	4.0	μB per cell

Lattice parameters (Å, degrees): 7.140 7.140 7.140 60.83 60.83 60.83
Fractional coordinates of all 10 atoms:
K 0.248 0.248 0.248
K 0.752 0.752 0.752
Fe 0.000 0.000 0.000
Ge 0.500 0.500 0.500
Cl 0.180 0.301 0.762
Cl 0.238 0.820 0.699
Cl 0.301 0.762 0.180
Cl 0.699 0.238 0.820
Cl 0.762 0.180 0.301
Cl 0.820 0.699 0.238



[11]
The following is a GGA-PBE calculation of a relaxed structure of Na2Cd4Ni, from Alexandria via LeMat-Bulk.

space-group type	No. 139
E_form	0.0721	eV per atom
calculated total energy	-1.654	eV per atom
crystal system	tetragonal
calculated density	4.7	g/cm3
magnetization	0.0	μB per cell

Lattice parameters (Å, degrees): 5.021 5.021 15.669 90.00 90.00 90.00
Fractional coordinates of all 14 atoms:
Na 0.000 0.000 0.140
Na 0.000 0.000 0.860
Na 0.500 0.500 0.360
Na 0.500 0.500 0.640
Cd 0.000 0.000 0.338
Cd 0.000 0.000 0.662
Cd 0.000 0.500 0.000
Cd 0.000 0.500 0.500
Cd 0.500 0.000 0.000
Cd 0.500 0.000 0.500
Cd 0.500 0.500 0.162
Cd 0.500 0.500 0.838
Ni 0.000 0.000 0.500
Ni 0.500 0.500 0.000



[12]
The following is a GGA-PBE calculation of a relaxed structure of Ba2TlF, from Alexandria via LeMat-Bulk.

space-group type	No. 166
uncorrected formation energy	-1.4160	eV per atom
calculated total energy	-3.437	eV per atom
crystal system	trigonal
energy above the lowest structure with this stoichiometry	86.7	meV per atom
calculated density	4.2	g/cm3
magnetization	0.0	μB per cell

Lattice parameters (Å, degrees): 4.895 4.895 28.231 90.00 90.00 120.00
Fractional coordinates of all 12 atoms:
Ba 0.000 0.000 0.087
Ba 0.000 0.000 0.913
Ba 0.333 0.667 0.580
Ba 0.333 0.667 0.754
Ba 0.667 0.333 0.246
Ba 0.667 0.333 0.420
Tl 0.000 0.000 0.500
Tl 0.333 0.667 0.167
Tl 0.667 0.333 0.833
F 0.000 0.000 0.000
F 0.333 0.667 0.667
F 0.667 0.333 0.333